An optimized crystal structure of SrPrNi, computed with PBE-GGA.

Properties
Relative energy among the computed polymorphs: 0.135 eV/atom
Crystal system: trigonal
DFT total energy: -4.1102 eV/atom
Total moment: 0.000 μB per atom

Lattice parameters (Å, degrees): 6.965 4.137 4.137 120.00 90.00 90.00
Positions (direct):
Ni  0.022  0.000  0.000
Pr  0.221  0.333  0.667
Sr  0.757  0.667  0.333

***

An optimized crystal structure of PrTaNi, computed with PBE-GGA.

Properties
Crystal system: tetragonal
DFT total energy: -7.4894 eV/atom
Total moment: 0.000 μB per atom

Lattice parameters (Å, degrees): 3.986 3.986 8.202 90.00 90.00 90.00
Positions (direct):
Ta  0.500  0.500  0.500
Ta  0.000  0.000  0.500
Pr  0.000  0.500  0.837
Ni  0.000  0.500  0.286
Pr  0.500  0.000  0.163
Ni  0.500  0.000  0.714

***

An optimized crystal structure of Pr2Ta2Ni15, computed with PBE-GGA.

Properties
Crystal system: trigonal
DFT total energy: -6.5399 eV/atom
Total moment: 0.000 μB per atom

Lattice parameters (Å, degrees): 6.438 6.438 6.438 82.04 82.04 82.04
Positions (direct):
Ni  0.706  0.000  0.294
Ni  0.000  0.500  0.000
Ta  0.102  0.102  0.102
Ta  0.898  0.898  0.898
Ni  0.343  0.343  0.847
Ni  0.500  0.000  0.000
Ni  0.000  0.000  0.500
Ni  0.657  0.657  0.153
Pr  0.649  0.649  0.649
Ni  0.153  0.657  0.657
Pr  0.351  0.351  0.351
Ni  0.847  0.343  0.343
Ni  0.343  0.847  0.343
Ni  0.657  0.153  0.657
Ni  0.000  0.294  0.706
Ni  0.000  0.706  0.294
Ni  0.706  0.294  0.000
Ni  0.294  0.000  0.706
Ni  0.294  0.706  0.000

***

An optimized crystal structure of PrTaNi10, computed with PBE-GGA.

Properties
Crystal system: orthorhombic
DFT total energy: -6.3553 eV/atom
Total moment: 0.157 μB per atom

Lattice parameters (Å, degrees): 3.978 4.791 8.358 90.00 90.00 90.00
Positions (direct):
Ni  0.000  0.000  0.347
Ni  0.500  0.258  0.265
Ni  0.000  0.500  0.811
Ni  0.500  0.742  0.265
Ni  0.500  0.500  0.000
Ni  0.000  0.000  0.653
Ta  0.000  0.500  0.500
Ni  0.500  0.000  0.500
Ni  0.500  0.258  0.735
Pr  0.000  0.000  0.000
Ni  0.000  0.500  0.189
Ni  0.500  0.742  0.735

***

An optimized crystal structure of TbPrNi, computed with PBE-GGA.

Properties
Relative energy among the computed polymorphs: 0.157 eV/atom
Crystal system: cubic
DFT total energy: -5.1392 eV/atom
Total moment: 0.000 μB per atom

Lattice parameters (Å, degrees): 4.854 4.854 4.854 60.00 60.00 60.00
Positions (direct):
Ni  0.250  0.250  0.250
Tb  0.000  0.000  0.000
Pr  0.500  0.500  0.500

***

An optimized crystal structure of Tb2PrNi, computed with PBE-GGA.

Properties
Relative energy among the computed polymorphs: 0.000 eV/atom
Crystal system: orthorhombic
DFT total energy: -5.1655 eV/atom
Total moment: 0.000 μB per atom

Lattice parameters (Å, degrees): 6.471 6.951 9.707 90.00 90.00 90.00
Positions (direct):
Tb  0.675  0.824  0.933
Pr  0.640  0.533  0.250
Ni  0.428  0.889  0.250
Ni  0.572  0.111  0.750
Tb  0.175  0.676  0.067
Pr  0.360  0.467  0.750
Tb  0.675  0.824  0.567
Ni  0.928  0.611  0.750
Tb  0.325  0.176  0.433
Tb  0.825  0.324  0.567
Tb  0.325  0.176  0.067
Tb  0.175  0.676  0.433
Tb  0.825  0.324  0.933
Pr  0.140  0.967  0.750
Pr  0.860  0.033  0.250
Ni  0.072  0.389  0.250

***

An optimized crystal structure of TbPr2Ni2, computed with PBE-GGA.

Properties
Crystal system: monoclinic
DFT total energy: -5.4101 eV/atom
Total moment: 0.000 μB per atom

Lattice parameters (Å, degrees): 3.848 6.701 10.127 81.73 79.05 73.31
Positions (direct):
Pr  0.661  0.747  0.930
Pr  0.457  0.395  0.691
Ni  0.004  0.878  0.114
Pr  0.339  0.253  0.070
Tb  0.793  0.053  0.360
Ni  0.885  0.682  0.547
Pr  0.543  0.605  0.309
Ni  0.115  0.318  0.453
Tb  0.207  0.947  0.640
Ni  0.996  0.122  0.886

***

An optimized crystal structure of TbPr2Ni6, computed with PBE-GGA.

Properties
Crystal system: hexagonal
DFT total energy: -5.7516 eV/atom
Total moment: 0.078 μB per atom

Lattice parameters (Å, degrees): 3.963 6.957 6.957 120.00 90.00 90.00
Positions (direct):
Ni  0.500  0.669  0.669
Ni  0.500  0.669  0.000
Ni  0.500  0.000  0.669
Pr  0.000  0.333  0.667
Ni  0.500  0.331  0.331
Ni  0.500  0.000  0.331
Ni  0.500  0.331  0.000
Tb  0.000  0.000  0.000
Pr  0.000  0.667  0.333

***

An optimized crystal structure of TbPr3Ni, computed with PBE-GGA.

Properties
Crystal system: cubic
DFT total energy: -4.8791 eV/atom
Total moment: 0.001 μB per atom

Lattice parameters (Å, degrees): 5.513 5.513 5.513 90.00 90.00 90.00
Positions (direct):
Tb  0.500  0.500  0.500
Pr  0.000  0.500  0.000
Pr  0.500  0.000  0.000
Ni  0.000  0.000  0.000
Pr  0.000  0.000  0.500

***

An optimized crystal structure of TbPrNi2, computed with PBE-GGA.

Properties
Relative energy among the computed polymorphs: 0.000 eV/atom
Crystal system: orthorhombic
DFT total energy: -5.6027 eV/atom
Total moment: 0.000 μB per atom

Lattice parameters (Å, degrees): 3.815 4.288 5.552 90.00 110.03 90.00
Positions (direct):
Ni  0.009  0.000  0.557
Pr  0.724  0.000  0.987
Ni  0.151  0.500  0.841
Tb  0.447  0.500  0.434

***

An optimized crystal structure of TbPr2Ni, computed with PBE-GGA.

Properties
Relative energy among the computed polymorphs: 0.137 eV/atom
Crystal system: tetragonal
DFT total energy: -5.0310 eV/atom
Total moment: 0.001 μB per atom

Lattice parameters (Å, degrees): 3.586 3.586 8.807 90.00 90.00 90.00
Positions (direct):
Ni  0.500  0.500  0.000
Pr  0.000  0.000  0.192
Tb  0.500  0.500  0.500
Pr  0.000  0.000  0.808

***

An optimized crystal structure of Tb2PrNi, computed with PBE-GGA.

Properties
Relative energy among the computed polymorphs: 0.258 eV/atom
Crystal system: trigonal
DFT total energy: -4.9078 eV/atom
Total moment: 0.001 μB per atom

Lattice parameters (Å, degrees): 3.619 3.619 10.716 80.28 80.28 60.00
Positions (direct):
Tb  0.112  0.112  0.663
Tb  0.888  0.888  0.337
Pr  0.000  0.000  0.000
Ni  0.500  0.500  0.500

***

An optimized crystal structure of TbPr3Ni2, computed with PBE-GGA.

Properties
Crystal system: monoclinic
DFT total energy: -5.3037 eV/atom
Total moment: 0.000 μB per atom

Lattice parameters (Å, degrees): 3.991 8.562 10.103 77.91 78.61 76.52
Positions (direct):
Ni  0.767  0.417  0.050
Pr  0.581  0.283  0.555
Pr  0.419  0.717  0.445
Pr  0.846  0.060  0.249
Tb  0.840  0.566  0.753
Tb  0.160  0.434  0.247
Ni  0.232  0.087  0.448
Ni  0.768  0.913  0.552
Pr  0.417  0.228  0.938
Ni  0.233  0.583  0.950
Pr  0.154  0.940  0.751
Pr  0.583  0.772  0.062

***

An optimized crystal structure of TbPr2Ni9, computed with PBE-GGA.

Properties
Crystal system: trigonal
DFT total energy: -5.8357 eV/atom
Total moment: 0.083 μB per atom

Lattice parameters (Å, degrees): 5.012 5.012 8.801 73.46 73.46 60.00
Positions (direct):
Tb  0.000  0.000  0.000
Ni  0.081  0.579  0.762
Pr  0.862  0.862  0.413
Ni  0.333  0.333  0.002
Pr  0.138  0.138  0.587
Ni  0.421  0.919  0.238
Ni  0.919  0.421  0.238
Ni  0.500  0.500  0.500
Ni  0.579  0.579  0.762
Ni  0.421  0.421  0.238
Ni  0.579  0.081  0.762
Ni  0.667  0.667  0.998

***

An optimized crystal structure of Tb2PrNi, computed with PBE-GGA.

Properties
Relative energy among the computed polymorphs: 0.044 eV/atom
Crystal system: tetragonal
DFT total energy: -5.1219 eV/atom
Total moment: 0.000 μB per atom

Lattice parameters (Å, degrees): 3.470 3.470 8.916 90.00 90.00 90.00
Positions (direct):
Ni  0.500  0.500  0.000
Pr  0.500  0.500  0.500
Tb  0.000  0.000  0.820
Tb  0.000  0.000  0.180

***

An optimized crystal structure of TbPrNi2, computed with PBE-GGA.

Properties
Relative energy among the computed polymorphs: 0.092 eV/atom
Crystal system: cubic
DFT total energy: -5.5103 eV/atom
Total moment: 0.000 μB per atom

Lattice parameters (Å, degrees): 4.891 4.891 4.891 60.00 60.00 60.00
Positions (direct):
Pr  0.500  0.500  0.500
Ni  0.750  0.750  0.750
Tb  0.000  0.000  0.000
Ni  0.250  0.250  0.250

***

An optimized crystal structure of TbPr2Ni, computed with PBE-GGA.

Properties
Relative energy among the computed polymorphs: 0.000 eV/atom
Crystal system: orthorhombic
DFT total energy: -5.1681 eV/atom
Total moment: 0.000 μB per atom

Lattice parameters (Å, degrees): 6.440 7.033 10.071 90.00 90.00 90.00
Positions (direct):
Pr  0.175  0.678  0.067
Tb  0.153  0.964  0.750
Ni  0.555  0.116  0.750
Pr  0.175  0.678  0.433
Pr  0.675  0.822  0.933
Pr  0.825  0.322  0.933
Tb  0.653  0.536  0.250
Ni  0.055  0.384  0.250
Tb  0.347  0.464  0.750
Ni  0.945  0.616  0.750
Pr  0.325  0.178  0.067
Pr  0.325  0.178  0.433
Tb  0.847  0.036  0.250
Ni  0.445  0.884  0.250
Pr  0.675  0.822  0.567
Pr  0.825  0.322  0.567

***

An optimized crystal structure of TbPrNi, computed with PBE-GGA.

Properties
Relative energy among the computed polymorphs: 0.000 eV/atom
Crystal system: monoclinic
DFT total energy: -5.2962 eV/atom
Total moment: 0.000 μB per atom

Lattice parameters (Å, degrees): 3.764 7.055 6.411 104.05 107.04 74.48
Positions (direct):
Ni  0.029  0.940  0.395
Tb  0.492  0.222  0.601
Pr  0.076  0.527  0.075
Tb  0.324  0.993  0.037
Pr  0.740  0.688  0.563
Ni  0.786  0.275  0.242

***

An optimized crystal structure of TbPrNi2, computed with PBE-GGA.

Properties
Relative energy among the computed polymorphs: 0.086 eV/atom
Crystal system: tetragonal
DFT total energy: -5.5168 eV/atom
Total moment: 0.000 μB per atom

Lattice parameters (Å, degrees): 3.448 3.448 6.935 90.00 90.00 90.00
Positions (direct):
Tb  0.500  0.500  0.000
Ni  0.000  0.000  0.770
Pr  0.500  0.500  0.500
Ni  0.000  0.000  0.230

***

An optimized crystal structure of Tb3PrNi, computed with PBE-GGA.

Properties
Relative energy among the computed polymorphs: 0.000 eV/atom
Crystal system: hexagonal
DFT total energy: -4.9813 eV/atom
Total moment: 0.000 μB per atom

Lattice parameters (Å, degrees): 5.926 7.536 7.538 120.00 90.00 90.00
Positions (direct):
Ni  0.000  0.000  0.000
Pr  0.750  0.667  0.333
Tb  0.250  0.824  0.176
Tb  0.250  0.353  0.176
Tb  0.750  0.176  0.824
Pr  0.250  0.333  0.667
Tb  0.750  0.176  0.353
Ni  0.500  0.000  0.000
Tb  0.750  0.647  0.824
Tb  0.250  0.824  0.647

***

An optimized crystal structure of TbPr2Ni, computed with PBE-GGA.

Properties
Relative energy among the computed polymorphs: 0.161 eV/atom
Crystal system: trigonal
DFT total energy: -5.0073 eV/atom
Total moment: 0.000 μB per atom

Lattice parameters (Å, degrees): 3.863 3.863 9.579 78.37 78.37 60.00
Positions (direct):
Pr  0.062  0.062  0.815
Tb  0.500  0.500  0.500
Ni  0.666  0.666  0.001
Pr  0.272  0.272  0.185

***

An optimized crystal structure of Tb12PrNi6, computed with PBE-GGA.

Properties
Crystal system: cubic
DFT total energy: -5.2346 eV/atom
Total moment: 0.000 μB per atom

Lattice parameters (Å, degrees): 8.568 8.568 8.568 109.47 109.47 109.47
Positions (direct):
Ni  0.500  0.876  0.376
Pr  0.000  0.000  0.000
Tb  0.815  0.312  0.127
Tb  0.688  0.504  0.815
Ni  0.500  0.124  0.624
Tb  0.185  0.312  0.496
Ni  0.876  0.376  0.500
Tb  0.496  0.185  0.312
Tb  0.312  0.496  0.185
Ni  0.376  0.500  0.876
Ni  0.124  0.624  0.500
Tb  0.312  0.127  0.815
Ni  0.624  0.500  0.124
Tb  0.873  0.185  0.688
Tb  0.815  0.688  0.504
Tb  0.185  0.688  0.873
Tb  0.688  0.873  0.185
Tb  0.127  0.815  0.312
Tb  0.504  0.815  0.688

***

An optimized crystal structure of TbPrNi, computed with PBE-GGA.

Properties
Relative energy among the computed polymorphs: 0.067 eV/atom
Crystal system: tetragonal
DFT total energy: -5.2288 eV/atom
Total moment: 0.000 μB per atom

Lattice parameters (Å, degrees): 3.485 3.485 6.815 104.82 104.82 90.00
Positions (direct):
Pr  0.031  0.031  0.062
Tb  0.293  0.293  0.585
Ni  0.676  0.676  0.353

***

An optimized crystal structure of TbPrNi2, computed with PBE-GGA.

Properties
Relative energy among the computed polymorphs: 0.184 eV/atom
Crystal system: trigonal
DFT total energy: -5.4186 eV/atom
Total moment: 0.000 μB per atom

Lattice parameters (Å, degrees): 4.019 4.019 6.884 73.03 73.03 60.00
Positions (direct):
Pr  0.500  0.500  0.500
Tb  0.000  0.000  0.000
Ni  0.745  0.745  0.764
Ni  0.255  0.255  0.236

***

An optimized crystal structure of Tb3PrNi, computed with PBE-GGA.

Properties
Relative energy among the computed polymorphs: 0.028 eV/atom
Crystal system: cubic
DFT total energy: -4.9534 eV/atom
Total moment: 0.000 μB per atom

Lattice parameters (Å, degrees): 5.364 5.364 5.364 90.00 90.00 90.00
Positions (direct):
Pr  0.500  0.500  0.500
Ni  0.000  0.000  0.000
Tb  0.000  0.500  0.000
Tb  0.500  0.000  0.000
Tb  0.000  0.000  0.500